# NaHf3Ni | Alexandria via LeMat-Bulk | PBE | relaxed
# Calculated total energy: -5.4908 eV per atom
# N(E_F): 10.355 states/eV/f.u.
# DFT formation energy: 1.901 eV per atom
# Offset from the most stable computed form: 681 kJ/mol of formula units
# Magnetization: 0.000 μB per cell
data_NaHf3Ni
_symmetry_space_group_name_H-M 'P m -3 m'
_symmetry_Int_Tables_number 221
_symmetry_space_group_name_Hall '-P 4 2 3'
_cell_length_a 4.8540
_cell_length_b 4.8540
_cell_length_c 4.8540
_cell_angle_alpha 90.00
_cell_angle_beta 90.00
_cell_angle_gamma 90.00
loop_
_atom_site_label
_atom_site_type_symbol
_atom_site_fract_x
_atom_site_fract_y
_atom_site_fract_z
_atom_site_occupancy
Na1 Na 0.0000 0.0000 0.0000 1
Hf1 Hf 0.0000 0.0000 0.5000 1
Ni1 Ni 0.5000 0.5000 0.5000 1

# NaHfNi2 | Alexandria via LeMat-Bulk | PBE | relaxed
# Calculated total energy: -5.5789 eV per atom
# N(E_F): 3.279 states/eV/f.u.
# DFT formation energy: 0.130 eV per atom
# Offset from the most stable computed form: 0 kJ/mol of formula units
# Magnetization: 0.000 μB per cell
data_NaHfNi2
_symmetry_space_group_name_H-M 'F m -3 m'
_symmetry_Int_Tables_number 225
_symmetry_space_group_name_Hall '-F 4 2 3'
_cell_length_a 6.3020
_cell_length_b 6.3020
_cell_length_c 6.3020
_cell_angle_alpha 90.00
_cell_angle_beta 90.00
_cell_angle_gamma 90.00
loop_
_atom_site_label
_atom_site_type_symbol
_atom_site_fract_x
_atom_site_fract_y
_atom_site_fract_z
_atom_site_occupancy
Na1 Na 0.0000 0.0000 0.0000 1
Hf1 Hf 0.0000 0.0000 0.5000 1
Ni1 Ni 0.2500 0.2500 0.2500 1

> Which formula does entry 1 have?

NaHf3Ni

> What is the offset from the most stable computed form in the second record?

0 kJ/mol of formula units